No. 1
This record from Alexandria describes crystalline Ho2HfAl at its relaxed geometry. The functional is PBE.

Space group   R-3m (166)
Total energy   -5.450 eV per atom
ρ   8.6 Mg/m³
ΔH_f (0 K)   0.263 eV per atom
Polymorph energy (0 for the lowest one)   385 meV/atom

Cell: 3.2543 3.2543 11.4071 Å, 81.80 81.80 60.00°
With the nearest neighbours (Å) after each atom.
Positions (direct):
Hf 0.0000 0.0000 0.0000  2 Ho 3.23, 6 Hf 3.25
Ho 0.0956 0.0956 0.7131  3 Al 3.05, 1 Hf 3.23, 6 Ho 3.25
Ho 0.9044 0.9044 0.2869  3 Al 3.05, 1 Hf 3.23, 6 Ho 3.25
Al 0.5000 0.5000 0.5000  6 Ho 3.05, 6 Al 3.25


No. 2
This record from Alexandria describes crystalline Ho2HfAl at its relaxed geometry. The functional is PBE.

Space group   P4/mmm (123)
Total energy   -5.835 eV per atom
ρ   9.0 Mg/m³
ΔH_f (0 K)   -0.122 eV per atom
Polymorph energy (0 for the lowest one)   0 meV/atom

Cell: 3.3734 3.3734 8.7017 Å, 90.00 90.00 90.00°
With the nearest neighbours (Å) after each atom.
Positions (direct):
Hf 0.5000 0.5000 0.5000  8 Ho 3.33, 4 Hf 3.37
Ho 0.0000 0.0000 0.7663  4 Al 3.13, 4 Hf 3.33, 4 Ho 3.37
Ho 0.0000 0.0000 0.2337  4 Al 3.13, 4 Hf 3.33, 4 Ho 3.37
Al 0.5000 0.5000 0.0000  8 Ho 3.13, 4 Al 3.37


No. 3
This record from Alexandria describes crystalline Ho2HfAl at its relaxed geometry. The functional is PBE.

Space group   P4/mmm (123)
Total energy   -5.829 eV per atom
ρ   9.3 Mg/m³
ΔH_f (0 K)   -0.116 eV per atom
Polymorph energy (0 for the lowest one)   6 meV/atom

Cell: 4.6099 4.5585 4.5585 Å, 90.00 90.00 90.00°
With the nearest neighbours (Å) after each atom.
Positions (direct):
Hf 0.5000 0.5000 0.5000  4 Al 3.22, 8 Ho 3.24
Ho 0.0000 0.0000 0.5000  4 Ho 3.22, 4 Hf 3.24, 4 Al 3.24
Ho 0.0000 0.5000 0.0000  4 Ho 3.22, 4 Al 3.24, 4 Hf 3.24
Al 0.5000 0.0000 0.0000  4 Hf 3.22, 8 Ho 3.24